Record 1
LaBe2Ir2 | PBE | relaxed

Properties
* DOS at the Fermi energy: 2.704 states/eV/cell
* polymorph energy (0 for the lowest one): 295 meV per atom
* spin magnetization: 0.0 μB/f.u.
* E: -63.448 eV/cell
* energy of formation from the pure elements: -0.324 eV per atom

abc: 7.234 7.234 2.903
angles: 90.00 90.00 90.00
Space group P4/mbm (No. 127)
Unique sites:
La  0.000  0.000  0.000 x2
Be  0.123  0.377  0.500 x4
Ir  0.149  0.649  0.000 x4

=====

Record 2
LaBe2Ir | PBE | relaxed

Properties
* DOS at the Fermi energy: 4.181 states/eV/cell
* polymorph energy (0 for the lowest one): 657 meV per atom
* spin magnetization: 0.0 μB/f.u.
* E: -40.821 eV/cell
* energy of formation from the pure elements: 0.208 eV per atom

abc: 2.989 4.892 9.004
angles: 90.00 90.00 90.00
Space group Imm2 (No. 44)
Unique sites:
La  0.000  0.000  0.000 x2
Be  0.000  0.000  0.519 x2
Be  0.000  0.500  0.806 x2
Ir  0.000  0.500  0.214 x2

=====

Record 3
LaBe2Ir | PBE | relaxed

Properties
* DOS at the Fermi energy: 2.733 states/eV/cell
* polymorph energy (0 for the lowest one): 798 meV per atom
* spin magnetization: 0.0 μB/f.u.
* E: -39.697 eV/cell
* energy of formation from the pure elements: 0.348 eV per atom

abc: 5.513 7.350 3.155
angles: 90.00 90.30 90.00
Space group C2/m (No. 12)
Unique sites:
La  0.000  0.000  0.000 x2
Be  0.250  0.250  0.500 x4
Ir  0.000  0.500  0.000 x2